1.
{"formula": "GdDy2Er", "functional": "PBE", "state": "relaxed", "cell": [[-1.516, -4.487, 1.638], [-1.526, -1.171, -4.620], [4.519, -1.897, -1.012]], "species": ["Dy", "Dy", "Gd", "Er"], "fractional_positions": [[0.000, 0.500, 0.000], [0.000, 0.000, 0.500], [0.500, 0.500, 0.500], [0.500, 0.000, 0.000]], "formation_energy_ev_per_atom": 0.020, "e_above_lowest_polymorph_ev_per_atom": 0.000}

2.
{"formula": "Ho3Ge3Rh2", "functional": "PBE", "state": "relaxed", "cell": [[-3.192, 2.444, 1.530], [-1.864, -3.988, -3.564], [-1.644, -8.956, 10.881]], "species": ["Ho", "Rh", "Ho", "Ge", "Ge", "Rh", "Rh", "Ge", "Ho", "Ho", "Ho", "Ho", "Ge", "Rh", "Ge", "Ge"], "fractional_positions": [[0.917, 0.834, 0.390], [0.203, 0.406, 0.401], [0.356, 0.712, 0.750], [0.346, 0.692, 0.250], [0.381, 0.762, 0.963], [0.797, 0.594, 0.599], [0.797, 0.594, 0.901], [0.381, 0.762, 0.537], [0.083, 0.166, 0.890], [0.644, 0.288, 0.250], [0.917, 0.834, 0.110], [0.083, 0.166, 0.610], [0.619, 0.238, 0.463], [0.203, 0.406, 0.099], [0.619, 0.238, 0.037], [0.654, 0.308, 0.750]], "formation_energy_ev_per_atom": -0.960, "e_above_lowest_polymorph_ev_per_atom": 0.000}

3.
{"formula": "Pr12AlTl4O3", "functional": "PBE", "state": "relaxed", "cell": [[9.014, 0.000, 0.000], [-3.005, 8.499, 0.000], [-3.005, -4.249, 7.360]], "species": ["Pr", "Al", "Pr", "Tl", "Pr", "Tl", "O", "Pr", "Pr", "Pr", "O", "Pr", "O", "Pr", "Tl", "Pr", "Pr", "Pr", "Pr", "Tl"], "fractional_positions": [[0.750, 0.250, 0.500], [0.000, 0.000, 0.000], [0.500, 0.250, 0.750], [0.000, 0.500, 0.000], [0.750, 0.500, 0.250], [0.500, 0.000, 0.000], [0.500, 0.500, 0.000], [0.250, 0.750, 0.500], [0.732, 0.732, 0.000], [0.000, 0.732, 0.732], [0.500, 0.000, 0.500], [0.268, 0.000, 0.268], [0.000, 0.500, 0.500], [0.268, 0.268, 0.000], [0.000, 0.000, 0.500], [0.250, 0.500, 0.750], [0.500, 0.750, 0.250], [0.732, 0.000, 0.732], [0.000, 0.268, 0.268], [0.500, 0.500, 0.500]], "dft_energy_ev_per_atom": -5.186}

| no. | total magnetization (μB per cell) |
| --- | --- |
| 1 | 7.09 |
| 2 | 0.00 |
| 3 | 0.00 |